First-principles (PBE) data for a geometry-optimized TiHOsRh2 structure, as listed in Alexandria via LeMat-Bulk.

SG: P4/mmm (123)
N(E_F): 3.59 states/eV per cell
Total DFT energy (no corrections): -38.919 eV per cell

Cell: 3.8440 3.8440 4.0319 Å, 90.00 90.00 90.00°
Fractional coordinates of all 5 atoms:
Rh  0.0000  0.5000  0.0000
Rh  0.5000  0.0000  0.0000
Os  0.5000  0.5000  0.5000
H  0.0000  0.0000  0.0000
Ti  0.0000  0.0000  0.5000